1.
# SbWC2

An optimized crystal structure of SbWC2 (PBE, Alexandria).

Computed properties:
The density of states at the Fermi level is 0.60 states/eV per atom.

abc: 6.171 6.171 6.171
angles: 131.13 131.13 71.61
Positions (direct):
1 Sb 0.000 0.000 0.000
2 Sb 0.750 0.250 0.500
3 W 0.250 0.750 0.500
4 W 0.500 0.500 0.000
5 C 0.197 0.625 0.072
6 C 0.375 0.447 0.572
7 C 0.553 0.125 0.928
8 C 0.875 0.803 0.428



2.
# Y3SbC

An optimized crystal structure of Y3SbC (PBE, Alexandria).

Computed properties:
The density of states at the Fermi level is 0.11 states/eV per atom.

abc: 8.066 8.066 8.066
angles: 142.65 72.79 120.06
Positions (direct):
1 Y 0.134 0.384 0.750
2 Y 0.225 0.102 0.122
3 Y 0.480 0.102 0.378
4 Y 0.520 0.898 0.622
5 Y 0.775 0.898 0.878
6 Y 0.866 0.616 0.250
7 Sb 0.000 0.500 0.500
8 Sb 0.500 0.500 0.000
9 C 0.159 0.909 0.250
10 C 0.841 0.091 0.750



3.
# Y3SbC

An optimized crystal structure of Y3SbC (PBE, Alexandria).

Computed properties:
The density of states at the Fermi level is 0.73 states/eV per atom.

abc: 4.507 4.507 7.687
angles: 90.00 90.00 90.00
Positions (direct):
1 Y 0.000 0.000 0.000
2 Y 0.000 0.500 0.658
3 Y 0.500 0.000 0.658
4 Sb 0.000 0.000 0.378
5 C 0.500 0.500 0.802



4.
# Y3SbC

An optimized crystal structure of Y3SbC (PBE, Alexandria).

Computed properties:
The density of states at the Fermi level is 0.35 states/eV per atom.

abc: 6.067 6.067 6.067
angles: 79.57 79.57 79.57
Positions (direct):
1 Y 0.040 0.480 0.480
2 Y 0.480 0.040 0.480
3 Y 0.480 0.480 0.040
4 Sb 0.528 0.528 0.528
5 C 0.254 0.254 0.254



5.
# Y3SbC

An optimized crystal structure of Y3SbC (PBE, Alexandria).

Computed properties:
The density of states at the Fermi level is 0.77 states/eV per atom.

abc: 9.062 9.062 6.701
angles: 98.35 98.35 73.81
Positions (direct):
1 Y 0.016 0.175 0.954
2 Y 0.158 0.665 0.541
3 Y 0.175 0.016 0.454
4 Y 0.316 0.482 0.089
5 Y 0.335 0.842 0.959
6 Y 0.482 0.316 0.589
7 Y 0.518 0.684 0.411
8 Y 0.665 0.158 0.041
9 Y 0.684 0.518 0.911
10 Y 0.825 0.984 0.546
11 Y 0.842 0.335 0.459
12 Y 0.984 0.825 0.046
13 Sb 0.141 0.367 0.709
14 Sb 0.367 0.141 0.209
15 Sb 0.633 0.859 0.791
16 Sb 0.859 0.633 0.291
17 C 0.086 0.914 0.750
18 C 0.252 0.748 0.250
19 C 0.748 0.252 0.750
20 C 0.914 0.086 0.250



6.
# Y3SbC

An optimized crystal structure of Y3SbC (PBE, Alexandria).

Computed properties:
The density of states at the Fermi level is 0.04 states/eV per atom.

abc: 4.316 4.316 16.687
angles: 90.00 90.00 120.00
Positions (direct):
1 Y 0.000 0.000 0.250
2 Y 0.000 0.000 0.750
3 Y 0.333 0.667 0.104
4 Y 0.333 0.667 0.396
5 Y 0.667 0.333 0.604
6 Y 0.667 0.333 0.896
7 Sb 0.000 0.000 0.000
8 Sb 0.000 0.000 0.500
9 C 0.333 0.667 0.250
10 C 0.667 0.333 0.750



7.
# Y3SbC

An optimized crystal structure of Y3SbC (PBE, Alexandria).

Computed properties:
The density of states at the Fermi level is 0.56 states/eV per atom.

abc: 3.761 7.759 9.127
angles: 92.10 101.89 104.02
Positions (direct):
1 Y 0.085 0.289 0.382
2 Y 0.356 0.909 0.304
3 Y 0.364 0.193 0.036
4 Y 0.636 0.807 0.964
5 Y 0.644 0.091 0.696
6 Y 0.915 0.711 0.618
7 Sb 0.340 0.431 0.748
8 Sb 0.660 0.569 0.252
9 C 0.132 0.934 0.830
10 C 0.868 0.066 0.170



8.
# Y4SbC

An optimized crystal structure of Y4SbC (PBE, Alexandria).

Computed properties:
The density of states at the Fermi level is 0.62 states/eV per atom.

abc: 5.987 9.814 6.004
angles: 90.00 100.07 90.00
Positions (direct):
1 Y 0.138 0.250 0.243
2 Y 0.256 0.750 0.364
3 Y 0.264 0.048 0.761
4 Y 0.264 0.452 0.761
5 Y 0.736 0.548 0.239
6 Y 0.736 0.952 0.239
7 Y 0.744 0.250 0.636
8 Y 0.862 0.750 0.757
9 Sb 0.397 0.750 0.899
10 Sb 0.603 0.250 0.101
11 C 0.122 0.250 0.620
12 C 0.878 0.750 0.380



9.
# Y4SbC2

An optimized crystal structure of Y4SbC2 (PBE, Alexandria).

Computed properties:
The density of states at the Fermi level is 0.38 states/eV per atom.

abc: 6.459 6.459 12.860
angles: 90.00 90.00 145.41
Positions (direct):
1 Y 0.000 0.000 0.000
2 Y 0.000 0.000 0.500
3 Y 0.262 0.738 0.603
4 Y 0.262 0.738 0.897
5 Y 0.420 0.580 0.250
6 Y 0.580 0.420 0.750
7 Y 0.738 0.262 0.103
8 Y 0.738 0.262 0.397
9 Sb 0.111 0.889 0.250
10 Sb 0.889 0.111 0.750
11 C 0.364 0.636 0.059
12 C 0.364 0.636 0.441
13 C 0.636 0.364 0.559
14 C 0.636 0.364 0.941



10.
# Y12Sb3C5

An optimized crystal structure of Y12Sb3C5 (PBE, Alexandria).

Computed properties:
The density of states at the Fermi level is 0.69 states/eV per atom.

abc: 13.721 13.721 13.721
angles: 109.47 109.47 109.47
Positions (direct):
1 Y 0.016 0.199 0.112
2 Y 0.016 0.317 0.904
3 Y 0.087 0.699 0.683
4 Y 0.087 0.888 0.404
5 Y 0.096 0.612 0.413
6 Y 0.096 0.984 0.683
7 Y 0.112 0.016 0.199
8 Y 0.112 0.596 0.913
9 Y 0.183 0.199 0.587
10 Y 0.183 0.484 0.596
11 Y 0.199 0.112 0.016
12 Y 0.199 0.587 0.183
13 Y 0.301 0.317 0.913
14 Y 0.301 0.484 0.388
15 Y 0.317 0.904 0.016
16 Y 0.317 0.913 0.301
17 Y 0.388 0.301 0.484
18 Y 0.388 0.587 0.904
19 Y 0.404 0.087 0.888
20 Y 0.404 0.817 0.516
21 Y 0.413 0.096 0.612
22 Y 0.413 0.817 0.801
23 Y 0.484 0.388 0.301
24 Y 0.484 0.596 0.183
25 Y 0.516 0.404 0.817
26 Y 0.516 0.612 0.699
27 Y 0.587 0.183 0.199
28 Y 0.587 0.904 0.388
29 Y 0.596 0.183 0.484
30 Y 0.596 0.913 0.112
31 Y 0.612 0.413 0.096
32 Y 0.612 0.699 0.516
33 Y 0.683 0.087 0.699
34 Y 0.683 0.096 0.984
35 Y 0.699 0.516 0.612
36 Y 0.699 0.683 0.087
37 Y 0.801 0.413 0.817
38 Y 0.801 0.888 0.984
39 Y 0.817 0.516 0.404
40 Y 0.817 0.801 0.413
41 Y 0.888 0.404 0.087
42 Y 0.888 0.984 0.801
43 Y 0.904 0.016 0.317
44 Y 0.904 0.388 0.587
45 Y 0.913 0.112 0.596
46 Y 0.913 0.301 0.317
47 Y 0.984 0.683 0.096
48 Y 0.984 0.801 0.888
49 Sb 0.125 0.250 0.375
50 Sb 0.125 0.375 0.750
51 Sb 0.250 0.375 0.125
52 Sb 0.250 0.875 0.625
53 Sb 0.375 0.125 0.250
54 Sb 0.375 0.750 0.125
55 Sb 0.625 0.250 0.875
56 Sb 0.625 0.875 0.750
57 Sb 0.750 0.125 0.375
58 Sb 0.750 0.625 0.875
59 Sb 0.875 0.625 0.250
60 Sb 0.875 0.750 0.625
61 C 0.000 0.000 0.000
62 C 0.000 0.000 0.500
63 C 0.000 0.500 0.000
64 C 0.000 0.500 0.500
65 C 0.125 0.750 0.875
66 C 0.125 0.875 0.250
67 C 0.250 0.125 0.875
68 C 0.250 0.625 0.375
69 C 0.375 0.250 0.625
70 C 0.375 0.625 0.750
71 C 0.500 0.000 0.000
72 C 0.500 0.000 0.500
73 C 0.500 0.500 0.000
74 C 0.500 0.500 0.500
75 C 0.625 0.375 0.250
76 C 0.625 0.750 0.375
77 C 0.750 0.375 0.625
78 C 0.750 0.875 0.125
79 C 0.875 0.125 0.750
80 C 0.875 0.250 0.125



11.
# Y3SbC

An optimized crystal structure of Y3SbC (PBE, Alexandria).

Computed properties:
The density of states at the Fermi level is 0.53 states/eV per atom.

abc: 3.724 4.798 6.697
angles: 90.00 90.00 90.00
Positions (direct):
1 Y 0.000 0.000 0.000
2 Y 0.500 0.500 0.245
3 Y 0.500 0.500 0.755
4 Sb 0.000 0.000 0.500
5 C 0.000 0.500 0.000



12.
# Y6SbC2

An optimized crystal structure of Y6SbC2 (PBE, Alexandria).

Computed properties:
The density of states at the Fermi level is 0.81 states/eV per atom.

abc: 8.711 8.711 6.701
angles: 95.22 95.22 65.61
Positions (direct):
1 Y 0.024 0.752 0.830
2 Y 0.031 0.376 0.684
3 Y 0.248 0.976 0.670
4 Y 0.333 0.400 0.086
5 Y 0.376 0.031 0.184
6 Y 0.400 0.333 0.586
7 Y 0.600 0.667 0.414
8 Y 0.624 0.969 0.816
9 Y 0.667 0.600 0.914
10 Y 0.752 0.024 0.330
11 Y 0.969 0.624 0.316
12 Y 0.976 0.248 0.170
13 Sb 0.178 0.822 0.250
14 Sb 0.822 0.178 0.750
15 C 0.176 0.334 0.351
16 C 0.334 0.176 0.851
17 C 0.666 0.824 0.149
18 C 0.824 0.666 0.649



ΔE_f (raw) per entry: 1026.3, -468.1, 230.0, 316.4, -553.3, -411.0, -589.2, -339.5, -544.8, -426.6, -564.2, -248.6 meV per atom